No. 1
# Li2TaAg

Li2TaAg after structural relaxation (PBE, Alexandria via LeMat-Bulk).

a = 4.4796 Å, b = 4.4796 Å, c = 4.4796 Å
α = 60.00°, β = 60.00°, γ = 60.00°
With the nearest neighbours (Å) after each atom.
Sites, in units of the cell vectors:
Li 0.0000 0.0000 0.0000  4 Ta 2.74, 4 Li 2.74
Li 0.2500 0.2500 0.2500  4 Ag 2.74, 4 Li 2.74
Ta 0.7500 0.7500 0.7500  4 Li 2.74, 4 Ag 2.74
Ag 0.5000 0.5000 0.5000  4 Ta 2.74, 4 Li 2.74

As for the energy above the most stable polymorph in this dataset: 330 meV per atom. As for the space group: F-43m. Its formation energy is 0.47 eV per atom.

---

No. 2
# MgZnAg5

MgZnAg5 after structural relaxation (PBE, Alexandria via LeMat-Bulk).

a = 6.5661 Å, b = 6.5661 Å, c = 6.5661 Å
α = 110.88°, β = 87.93°, γ = 132.83°
With the nearest neighbours (Å) after each atom.
Sites, in units of the cell vectors:
Mg 0.0000 0.0000 0.0000  4 Ag 2.56-2.77
Zn 0.2793 0.7793 0.5000  4 Ag 2.62-2.72
Ag 0.1954 0.4754 0.7200  1 Zn 2.62, 3 Ag 2.65-2.80
Ag 0.4877 0.4877 0.0000  2 Mg 2.56-2.69, 4 Ag 2.65-2.69
Ag 0.7278 0.0461 0.3183  4 Ag 2.69-2.80, 1 Zn 2.72, 1 Mg 2.77
Ag 0.7278 0.4096 0.6817  4 Ag 2.69-2.80, 1 Zn 2.72, 1 Mg 2.77
Ag 0.7554 0.4754 0.2800  1 Zn 2.62, 3 Ag 2.65-2.80

As for the energy above the most stable polymorph in this dataset: 463 meV per atom. As for the space group: Imm2. Its formation energy is 0.44 eV per atom.

---

No. 3
# ReHgAs2

ReHgAs2 after structural relaxation (PBE, Alexandria via LeMat-Bulk).

a = 4.8561 Å, b = 4.8561 Å, c = 4.8561 Å
α = 126.79°, β = 126.79°, γ = 78.59°
With the nearest neighbours (Å) after each atom.
Sites, in units of the cell vectors:
Re 0.0000 0.0000 0.0000  8 As 2.87, 4 Hg 3.08
Hg 0.5000 0.5000 0.0000  8 As 2.87, 4 Re 3.08
As 0.2500 0.7500 0.5000  4 Hg 2.87, 4 Re 2.87, 4 As 3.08
As 0.7500 0.2500 0.5000  4 Hg 2.87, 4 Re 2.87, 4 As 3.08

As for the space group: I4/mmm. Its formation energy is 0.74 eV per atom.

---

No. 4
# LaCdPd2

LaCdPd2 after structural relaxation (PBE, Alexandria via LeMat-Bulk).

a = 7.4087 Å, b = 7.1164 Å, c = 6.7683 Å
α = 90.00°, β = 90.00°, γ = 90.00°
With the nearest neighbours (Å) after each atom.
Sites, in units of the cell vectors:
La 0.0289 0.2500 0.1777  8 Pd 3.08-3.28
La 0.4711 0.7500 0.6777  8 Pd 3.08-3.28
La 0.5289 0.2500 0.3223  8 Pd 3.08-3.28
La 0.9711 0.7500 0.8223  8 Pd 3.08-3.28
Cd 0.1086 0.7500 0.3160  6 Pd 2.72-2.82
Cd 0.3914 0.2500 0.8160  6 Pd 2.72-2.82
Cd 0.6086 0.7500 0.1840  6 Pd 2.72-2.82
Cd 0.8914 0.2500 0.6840  6 Pd 2.72-2.82
Pd 0.1954 0.0492 0.5474  3 Cd 2.72-2.82, 2 Pd 2.86-3.05
Pd 0.1954 0.4508 0.5474  3 Cd 2.72-2.82, 2 Pd 2.86-3.05
Pd 0.3046 0.5492 0.0474  3 Cd 2.72-2.82, 2 Pd 2.86-3.05
Pd 0.3046 0.9508 0.0474  3 Cd 2.72-2.82, 2 Pd 2.86-3.05
Pd 0.6954 0.0492 0.9526  3 Cd 2.72-2.82, 2 Pd 2.86-3.05
Pd 0.6954 0.4508 0.9526  3 Cd 2.72-2.82, 2 Pd 2.86-3.05
Pd 0.8046 0.5492 0.4526  3 Cd 2.72-2.82, 2 Pd 2.86-3.05
Pd 0.8046 0.9508 0.4526  3 Cd 2.72-2.82, 2 Pd 2.86-3.05

As for the space group: Pnma. Its formation energy is -0.64 eV per atom.

---

No. 5
# AgTeN2

AgTeN2 after structural relaxation (PBE, Alexandria via LeMat-Bulk).

a = 6.2211 Å, b = 6.2211 Å, c = 6.2211 Å
α = 130.93°, β = 130.93°, γ = 71.93°
With the nearest neighbours (Å) after each atom.
Sites, in units of the cell vectors:
Ag 0.0000 0.0000 0.0000  4 N 2.38
Ag 0.7500 0.2500 0.5000  4 N 2.38
Te 0.2500 0.7500 0.5000  4 N 2.08
Te 0.5000 0.5000 0.0000  4 N 2.08
N 0.1760 0.6250 0.0510  2 Te 2.08
N 0.3750 0.4260 0.5510  2 Te 2.08
N 0.5740 0.1250 0.9490  2 Te 2.08
N 0.8750 0.8240 0.4490  2 Te 2.08

The formation energy from raw total energies is 1.10 eV per atom. As for the space group: I-42d.

---

No. 6
# BeNiHRh2

BeNiHRh2 after structural relaxation (PBE, Alexandria via LeMat-Bulk).

a = 3.9330 Å, b = 3.9330 Å, c = 3.2429 Å
α = 90.00°, β = 90.00°, γ = 90.00°
With the nearest neighbours (Å) after each atom.
Sites, in units of the cell vectors:
Be 0.0000 0.0000 0.0000  2 H 1.62
Ni 0.5000 0.5000 0.0000  8 Rh 2.55, 4 Be 2.78
H 0.0000 0.0000 0.5000  2 Be 1.62
Rh 0.0000 0.5000 0.5000  2 H 1.97
Rh 0.5000 0.0000 0.5000  2 H 1.97

As for the energy above the most stable polymorph in this dataset: 39 meV per atom. As for the space group: P4/mmm.

---

No. 7
# TaAgBr2

TaAgBr2 after structural relaxation (PBE, Alexandria via LeMat-Bulk).

a = 3.1755 Å, b = 3.1755 Å, c = 9.9116 Å
α = 90.00°, β = 90.00°, γ = 112.80°
With the nearest neighbours (Å) after each atom.
Sites, in units of the cell vectors:
Ta 0.0000 0.0000 0.0000  2 Br 2.66, 2 Ag 2.82
Ag 0.5000 0.5000 0.7773  2 Br 2.77, 2 Ta 2.82
Br 0.0000 0.0000 0.5611  2 Ag 2.77
Br 0.5000 0.5000 0.2021  2 Ta 2.66

As for the energy above the most stable polymorph in this dataset: 241 meV per atom. The formation energy from raw total energies is 0.16 eV per atom. As for the space group: Cmm2.

---

No. 8
# UFeSi2Ni

UFeSi2Ni after structural relaxation (PBE, Alexandria via LeMat-Bulk).

a = 5.5680 Å, b = 5.5680 Å, c = 5.5680 Å
α = 139.05°, β = 139.05°, γ = 59.30°
With the nearest neighbours (Å) after each atom.
Sites, in units of the cell vectors:
U 0.0000 0.0000 0.0000  8 Si 3.01, 4 Fe 3.11, 4 Ni 3.11
Fe 0.7500 0.2500 0.5000  4 Si 2.30
Si 0.3759 0.3759 0.0000  2 Fe 2.30, 2 Ni 2.30, 1 Si 2.40
Si 0.6241 0.6241 0.0000  2 Fe 2.30, 2 Ni 2.30, 1 Si 2.40
Ni 0.2500 0.7500 0.5000  4 Si 2.30

The formation energy from raw total energies is -0.51 eV per atom. As for the space group: I-4m2.

---

No. 9
# SrSbF5

SrSbF5 after structural relaxation (PBE, Alexandria via LeMat-Bulk).

a = 4.4693 Å, b = 8.9719 Å, c = 11.3783 Å
α = 90.00°, β = 90.00°, γ = 90.00°
With the nearest neighbours (Å) after each atom.
Sites, in units of the cell vectors:
Sr 0.0008 0.2500 0.0000  8 F 2.51-2.72
Sr 0.0008 0.2500 0.5000  8 F 2.51-2.72
Sr 0.9992 0.7500 0.0000  8 F 2.51-2.72
Sr 0.9992 0.7500 0.5000  8 F 2.51-2.72
Sb 0.3814 0.0566 0.2500  5 F 2.00-2.14
Sb 0.3814 0.4434 0.7500  5 F 2.00-2.14
Sb 0.6186 0.5566 0.2500  5 F 2.00-2.14
Sb 0.6186 0.9434 0.7500  5 F 2.00-2.14
F 0.0656 0.2143 0.2500  1 Sb 2.00
F 0.0656 0.2857 0.7500  1 Sb 2.00
F 0.0844 0.5134 0.6136  1 Sb 2.14
F 0.0844 0.5134 0.8864  1 Sb 2.14
F 0.0844 0.9866 0.1136  1 Sb 2.14
F 0.0844 0.9866 0.3864  1 Sb 2.14
F 0.4849 0.7026 0.1111  1 Sb 2.14
F 0.4849 0.7026 0.3889  1 Sb 2.14
F 0.4849 0.7974 0.6111  1 Sb 2.14
F 0.4849 0.7974 0.8889  1 Sb 2.14
F 0.5151 0.2026 0.1111  1 Sb 2.14
F 0.5151 0.2026 0.3889  1 Sb 2.14
F 0.5151 0.2974 0.6111  1 Sb 2.14
F 0.5151 0.2974 0.8889  1 Sb 2.14
F 0.9156 0.0134 0.6136  1 Sb 2.14
F 0.9156 0.0134 0.8864  1 Sb 2.14
F 0.9156 0.4866 0.1136  1 Sb 2.14
F 0.9156 0.4866 0.3864  1 Sb 2.14
F 0.9344 0.7143 0.2500  1 Sb 2.00
F 0.9344 0.7857 0.7500  1 Sb 2.00

As for the energy above the most stable polymorph in this dataset: 0 meV per atom. The formation energy from raw total energies is -3.07 eV per atom. As for the space group: Pbcm.

---

What did the fourth record say?
# LaCdPd2

LaCdPd2 after structural relaxation (PBE, Alexandria via LeMat-Bulk).

a = 7.4087 Å, b = 7.1164 Å, c = 6.7683 Å
α = 90.00°, β = 90.00°, γ = 90.00°
With the nearest neighbours (Å) after each atom.
Sites, in units of the cell vectors:
La 0.0289 0.2500 0.1777  8 Pd 3.08-3.28
La 0.4711 0.7500 0.6777  8 Pd 3.08-3.28
La 0.5289 0.2500 0.3223  8 Pd 3.08-3.28
La 0.9711 0.7500 0.8223  8 Pd 3.08-3.28
Cd 0.1086 0.7500 0.3160  6 Pd 2.72-2.82
Cd 0.3914 0.2500 0.8160  6 Pd 2.72-2.82
Cd 0.6086 0.7500 0.1840  6 Pd 2.72-2.82
Cd 0.8914 0.2500 0.6840  6 Pd 2.72-2.82
Pd 0.1954 0.0492 0.5474  3 Cd 2.72-2.82, 2 Pd 2.86-3.05
Pd 0.1954 0.4508 0.5474  3 Cd 2.72-2.82, 2 Pd 2.86-3.05
Pd 0.3046 0.5492 0.0474  3 Cd 2.72-2.82, 2 Pd 2.86-3.05
Pd 0.3046 0.9508 0.0474  3 Cd 2.72-2.82, 2 Pd 2.86-3.05
Pd 0.6954 0.0492 0.9526  3 Cd 2.72-2.82, 2 Pd 2.86-3.05
Pd 0.6954 0.4508 0.9526  3 Cd 2.72-2.82, 2 Pd 2.86-3.05
Pd 0.8046 0.5492 0.4526  3 Cd 2.72-2.82, 2 Pd 2.86-3.05
Pd 0.8046 0.9508 0.4526  3 Cd 2.72-2.82, 2 Pd 2.86-3.05

As for the space group: Pnma. Its formation energy is -0.64 eV per atom.